Model i:
The following is a DFT calculation (PBE) of a relaxed LaInMo crystal.

a = 7.3922 Å, b = 4.3340 Å, c = 10.4844 Å
α = 90.00°, β = 108.73°, γ = 90.00°
Fractional positions:
Mo1 0.3231 0.0000 0.7663
In1 0.0257 0.0000 0.5210
In2 0.0257 0.5000 0.0210
La1 0.3778 0.0000 0.0523
La2 0.8405 0.5000 0.2721
La3 0.3778 0.5000 0.5523
Mo2 0.1452 0.0000 0.2650
Mo3 0.3231 0.5000 0.2663
In3 0.5872 0.5000 0.9000
La4 0.8405 0.0000 0.7721
Mo4 0.1452 0.5000 0.7650
In4 0.5872 0.0000 0.4000

Total magnetization = 0.0 μB/cell
Mass density = 7.301 g cm⁻³
Space-group type = Cm



Model ii:
The following is a DFT calculation (PBE) of a relaxed LaInMo crystal.

a = 9.3832 Å, b = 3.5360 Å, c = 11.3272 Å
α = 90.00°, β = 126.86°, γ = 90.00°
Fractional positions:
Mo1 0.3756 0.5000 0.3794
La1 0.3009 0.5000 0.0804
Mo2 0.3756 0.0000 0.8794
In1 0.0703 0.0000 0.1852
Mo3 0.6244 0.0000 0.1206
In2 0.9297 0.0000 0.8148
La2 0.6991 0.0000 0.4196
In3 0.9297 0.5000 0.3148
Mo4 0.6244 0.5000 0.6206
La3 0.6991 0.5000 0.9196
In4 0.0703 0.5000 0.6852
La4 0.3009 0.0000 0.5804

Total magnetization = 0.0 μB/cell
Mass density = 7.724 g cm⁻³
Space-group type = C2/m



Short version: model ii is the least stable of them.



Model i:
The following is a DFT calculation (PBE) of a relaxed LaInMo crystal.

a = 7.6858 Å, b = 4.7781 Å, c = 11.1531 Å
α = 90.00°, β = 131.11°, γ = 90.00°
Fractional positions:
In1 0.8959 0.0000 0.8186
In2 0.1041 0.5000 0.6814
In3 0.8959 0.5000 0.3186
In4 0.1041 0.0000 0.1814
Mo1 0.3343 0.0000 0.8702
La1 0.6928 0.0000 0.4389
Mo2 0.6657 0.0000 0.1298
La2 0.6928 0.5000 0.9389
Mo3 0.6657 0.5000 0.6298
Mo4 0.3343 0.5000 0.3702
La3 0.3072 0.0000 0.5611
La4 0.3072 0.5000 0.0611

Total magnetization = 0.0 μB/cell
Mass density = 7.526 g cm⁻³
Space-group type = C2/m



Model ii:
The following is a DFT calculation (PBE) of a relaxed LaInMo crystal.

a = 5.1385 Å, b = 5.4987 Å, c = 6.0450 Å
α = 75.29°, β = 66.29°, γ = 75.54°
Fractional positions:
In1 0.9122 0.8325 0.7517
La1 0.3382 0.2595 0.6454
La2 0.6618 0.7405 0.3546
Mo1 0.3016 0.6489 0.0296
Mo2 0.6984 0.3511 0.9704
In2 0.0878 0.1675 0.2483

Total magnetization = 0.0 μB/cell
Mass density = 7.786 g cm⁻³
Space-group type = P-1



Short version: model ii is the least stable of them.



Model i:
The following is a DFT calculation (PBE) of a relaxed LaInMo crystal.

a = 5.1021 Å, b = 7.4768 Å, c = 8.2687 Å
α = 90.00°, β = 90.00°, γ = 90.00°
Fractional positions:
Mo1 0.0000 0.6478 0.8330
In1 0.5000 0.7039 0.0021
In2 0.0000 0.7961 0.5021
Mo2 0.5000 0.1478 0.3330
La1 0.0000 0.5000 0.2025
La2 0.5000 0.5000 0.5957
La3 0.0000 0.0000 0.0957
Mo3 0.0000 0.3522 0.8330
La4 0.5000 0.0000 0.7025
In3 0.5000 0.2961 0.0021
Mo4 0.5000 0.8522 0.3330
In4 0.0000 0.2039 0.5021

Total magnetization = 0.0 μB/cell
Mass density = 7.363 g cm⁻³
Space-group type = Imm2



Model ii:
The following is a DFT calculation (PBE) of a relaxed LaInMo crystal.

a = 8.0519 Å, b = 8.1539 Å, c = 9.2898 Å
α = 90.00°, β = 150.14°, γ = 90.00°
Fractional positions:
Mo1 0.8075 0.9500 0.0434
Mo2 0.3075 0.0500 0.5434
La1 0.9877 0.8098 0.5417
Mo3 0.3075 0.5500 0.0434
In1 0.1818 0.3923 0.5416
La2 0.9877 0.3098 0.0417
La3 0.4877 0.6902 0.5417
Mo4 0.8075 0.4500 0.5434
In2 0.6818 0.6077 0.0416
In3 0.1818 0.8923 0.0416
In4 0.6818 0.1077 0.5416
La4 0.4877 0.1902 0.0417

Total magnetization = 0.0 μB/cell
Mass density = 7.649 g cm⁻³
Space-group type = Cc



Model iii:
The following is a DFT calculation (PBE) of a relaxed LaInMo crystal.

a = 3.5491 Å, b = 5.8886 Å, c = 7.7487 Å
α = 104.37°, β = 90.04°, γ = 90.22°
Fractional positions:
In1 0.2484 0.4556 0.6595
Mo1 0.2486 0.3712 0.0287
La1 0.2538 0.9950 0.2583
Mo2 0.7514 0.6288 0.9713
La2 0.7462 0.0050 0.7417
In2 0.7516 0.5444 0.3405

Total magnetization = 0.0 μB/cell
Mass density = 7.403 g cm⁻³
Space-group type = P-1



Model iv:
The following is a DFT calculation (PBE) of a relaxed LaInMo crystal.

a = 5.6233 Å, b = 6.5469 Å, c = 7.8317 Å
α = 90.00°, β = 90.00°, γ = 90.00°
Fractional positions:
Mo1 0.7300 0.5000 0.3762
La1 0.0000 0.5000 0.0249
In1 0.0000 0.2548 0.6215
La2 0.0000 0.0000 0.2261
Mo2 0.2700 0.5000 0.3762
Mo3 0.7700 0.0000 0.8762
In2 0.5000 0.7548 0.1215
In3 0.5000 0.2452 0.1215
La3 0.5000 0.5000 0.7261
La4 0.5000 0.0000 0.5249
In4 0.0000 0.7452 0.6215
Mo4 0.2300 0.0000 0.8762

Total magnetization = 0.0 μB/cell
Mass density = 8.055 g cm⁻³
Space-group type = Imm2



Short version: model iii is the least stable of them.



Model i:
The following is a DFT calculation (PBE) of a relaxed LaInMo crystal.

a = 5.1645 Å, b = 5.1645 Å, c = 3.0974 Å
α = 90.00°, β = 90.00°, γ = 120.00°
Last column: magnetic moment on the atom in μB.
Fractional positions:
La1 0.3333 0.6667 0.3328  0.03
Mo1 0.6667 0.3333 0.8361  0.53
In1 0.0000 0.0000 0.8310  0.01

Total magnetization = 0.7 μB/cell
Mass density = 8.116 g cm⁻³
Space-group type = P3m1



Model ii:
The following is a DFT calculation (PBE) of a relaxed LaInMo crystal.

a = 5.8736 Å, b = 5.8736 Å, c = 5.8736 Å
α = 142.81°, β = 142.80°, γ = 53.62°
Fractional positions:
Mo1 0.6343 0.6343 0.0000
In1 0.0339 0.0339 0.0000
La1 0.3318 0.3318 0.0000

Total magnetization = 0.0 μB/cell
Mass density = 7.890 g cm⁻³
Space-group type = I4mm



Model iii:
The following is a DFT calculation (PBE) of a relaxed LaInMo crystal.

a = 7.6517 Å, b = 7.6517 Å, c = 7.6517 Å
α = 156.87°, β = 156.87°, γ = 32.95°
Fractional positions:
La1 0.3258 0.3258 0.0000
In1 0.0172 0.0172 0.0000
Mo1 0.6570 0.6570 0.0000

Total magnetization = 0.0 μB/cell
Mass density = 8.403 g cm⁻³
Space-group type = I4mm



Short version: model i is the least stable of them.